Below is a geometry-optimized Sm3ErS4 structure, with properties calculated at the GGA-PBEsol level.

Unit cell a=3.898 b=5.548 c=7.865 alpha=90.00 beta=90.00 gamma=90.00
Space group Pmmm (No. 47)
Unique sites:
Sm  0.000  0.000  0.000 x1
Sm  0.500  0.500  0.248 x2
Er  0.000  0.000  0.500 x1
S  0.000  0.500  0.000 x1
S  0.000  0.500  0.500 x1
S  0.500  0.000  0.260 x2

## Properties
- E_form (uncorrected) (eV/atom) = -2.11
- V (Å³/cell) = 170

Below is a geometry-optimized Er2TeS2 structure, with properties calculated at the GGA-PBEsol level.

Unit cell a=4.070 b=5.269 c=13.144 alpha=90.00 beta=90.00 gamma=90.00
Space group Immm (No. 71)
Unique sites:
Er  0.000  0.000  0.168 x4
Te  0.000  0.500  0.500 x2
S  0.000  0.500  0.200 x4

## Properties
- E_form (uncorrected) (eV/atom) = -1.86
- V (Å³/cell) = 282

Below is a geometry-optimized ErTlS2 structure, with properties calculated at the GGA-PBEsol level.

Unit cell a=3.9132 b=3.9132 c=22.1195 alpha=90.00 beta=90.00 gamma=120.00
Space group R-3m (No. 166, hexagonal axes)
Unique sites:
Er  0.0000  0.0000  0.0000 x3
Tl  0.0000  0.0000  0.5000 x3
S  0.0000  0.0000  0.2667 x6

## Properties
- E_form (uncorrected) (eV/atom) = -1.49
- V (Å³/cell) = 293

Below is a geometry-optimized Er4Sb3 structure, with properties calculated at the GGA-PBEsol level.

Unit cell a=8.974 b=8.974 c=8.974 alpha=90.00 beta=90.00 gamma=90.00
Space group I-43d (No. 220)
Unique sites:
Er  0.073  0.427  0.573 x16
Sb  0.000  0.250  0.875 x12

## Properties
- E_form (uncorrected) (eV/atom) = -1.00
- V (Å³/cell) = 723

Below is a geometry-optimized Er5Si2Sb2 structure, with properties calculated at the GGA-PBEsol level.

Unit cell a=14.778 b=7.653 c=7.673 alpha=90.00 beta=90.00 gamma=90.00
Space group Cmce (No. 64)
Unique sites:
Er  0.000  0.000  0.000 x4
Er  0.126  0.169  0.331 x16
Si  0.000  0.127  0.626 x8
Sb  0.207  0.000  0.000 x8

## Properties
- E_form (uncorrected) (eV/atom) = -0.95
- V (Å³/cell) = 868

Below is a geometry-optimized ErSe2 structure, with properties calculated at the GGA-PBEsol level.

Unit cell a=3.988 b=3.988 c=8.129 alpha=90.00 beta=90.00 gamma=90.00
Space group P4/nmm (No. 129, origin choice 2)
Unique sites:
Er  0.250  0.250  0.228 x2
Se  0.250  0.250  0.870 x2
Se  0.250  0.750  0.500 x2

## Properties
- E_form (uncorrected) (eV/atom) = -1.60
- V (Å³/cell) = 129